VASP calculation (GGA-PBE) on an optimized crystal structure of BeAsAu2.

The calculation puts the density at 11.692 Mg/m³. Its formation enthalpy at 0 K is 0.690 eV/f.u. The energy relative to the lowest polymorph listed for this composition is 0.128 eV/atom. The value obtained for the raw total energy is -14.2 eV per formula unit.

The structure belongs to space group P2/m (No. 10); the cell edges are 3.6380, 3.7135 and 5.3353 Å and the angles 90.00°, 109.68° and 90.00°. Symmetry generates all atoms from Be at (0.0000, 0.0000, 0.0000), As at (0.5000, 0.0000, 0.5000) and Au at (0.1564, 0.5000, 0.7815).